(1)
La2TaIr | PBE | relaxed

## Properties
Fermi-level density of states in states/eV/cell: 5.0
Symmetry: Fm-3m (225)
Calculated volume in A^3/atom: 24.54

Cell and atoms, written as POSCAR:
```
La2TaIr
1.0
0.000 3.661 3.661
3.661 0.000 3.661
3.661 3.661 0.000
La Ta Ir
2 1 1
Direct
0.250 0.250 0.250
0.750 0.750 0.750
0.000 0.000 0.000
0.500 0.500 0.500
```



(2)
La2TaIr | PBE | relaxed

## Properties
Fermi-level density of states in states/eV/cell: 5.7
Symmetry: I-4m2 (119)
Calculated volume in A^3/atom: 23.59

Cell and atoms, written as POSCAR:
```
La2TaIr
1.0
-2.130 2.130 5.202
2.130 -2.130 5.202
2.130 2.130 -5.202
La Ta Ir
2 1 1
Direct
0.000 0.000 0.000
0.750 0.250 0.500
0.250 0.750 0.500
0.500 0.500 0.000
```



(3)
La2TaIr | PBE | relaxed

## Properties
Fermi-level density of states in states/eV/cell: 11.0
Symmetry: I-42d (122)
Calculated volume in A^3/atom: 25.38

Cell and atoms, written as POSCAR:
```
La2TaIr
1.0
-4.116 4.116 2.997
4.116 -4.116 2.997
4.116 4.116 -2.997
La Ta Ir
4 2 2
Direct
0.086 0.625 0.961
0.375 0.336 0.461
0.664 0.125 0.039
0.875 0.914 0.539
0.250 0.750 0.500
0.500 0.500 0.000
0.000 0.000 0.000
0.750 0.250 0.500
```



(4)
La2TaIr | PBE | relaxed

## Properties
Fermi-level density of states in states/eV/cell: 6.3
Symmetry: Immm (71)
Calculated volume in A^3/atom: 28.76

Cell and atoms, written as POSCAR:
```
La2TaIr
1.0
-1.737 1.978 8.368
1.737 -1.978 8.368
1.737 1.978 -8.368
La Ta Ir
2 1 1
Direct
0.155 0.155 0.000
0.845 0.845 0.000
0.500 0.000 0.500
0.000 0.500 0.500
```



Tell me which of them is the most stable. Sure, it is (4).



(1)
LaTa3Ir | PBE | relaxed

## Properties
Fermi-level density of states in states/eV/cell: 6.7
Symmetry: Pm-3m (221)
Calculated volume in A^3/atom: 22.09

Cell and atoms, written as POSCAR:
```
LaTa3Ir
1.0
4.798 0.000 0.000
0.000 4.798 0.000
0.000 0.000 4.798
La Ta Ir
1 3 1
Direct
0.000 0.000 0.000
0.000 0.000 0.500
0.000 0.500 0.000
0.500 0.000 0.000
0.500 0.500 0.500
```



(2)
LaTa3Ir | PBE | relaxed

## Properties
Fermi-level density of states in states/eV/cell: 7.5
Symmetry: Pm-3m (221)
Calculated volume in A^3/atom: 24.48

Cell and atoms, written as POSCAR:
```
LaTa3Ir
1.0
4.965 0.000 0.000
0.000 4.965 0.000
0.000 0.000 4.965
La Ta Ir
1 3 1
Direct
0.000 0.000 0.000
0.000 0.500 0.500
0.500 0.000 0.500
0.500 0.500 0.000
0.500 0.500 0.500
```



Tell me which of them is the most stable. Sure, it is (2).



(1)
La3TbIr | PBE | relaxed

## Properties
Fermi-level density of states in states/eV/cell: 9.1
Symmetry: Pm-3m (221)
Calculated volume in A^3/atom: 36.60

Cell and atoms, written as POSCAR:
```
La3TbIr
1.0
5.677 0.000 0.000
0.000 5.677 0.000
0.000 0.000 5.677
La Tb Ir
3 1 1
Direct
0.000 0.000 0.500
0.000 0.500 0.000
0.500 0.000 0.000
0.500 0.500 0.500
0.000 0.000 0.000
```



(2)
La3TbIr | PBE | relaxed

## Properties
Fermi-level density of states in states/eV/cell: 13.9
Symmetry: Pmn2_1 (31)
Calculated volume in A^3/atom: 34.83

Cell and atoms, written as POSCAR:
```
La3TbIr
1.0
7.953 0.000 0.000
0.000 6.744 0.000
0.000 0.000 6.493
La Tb Ir
6 2 2
Direct
0.000 0.148 0.000
0.250 0.316 0.499
0.250 0.684 0.999
0.500 0.852 0.500
0.750 0.316 0.499
0.750 0.684 0.999
0.000 0.835 0.502
0.500 0.165 0.002
0.000 0.500 0.249
0.500 0.500 0.749
```



Tell me which of them is the most stable. Sure, it is (2).